Below is a relaxed K2Ho2TeS6 crystal, with properties calculated at the PBE level.

a b c (Å): 6.868 6.868 7.891
angles (deg): 98.32 98.32 119.77
Element x y z (fractional)
K 0.167 0.833 0.000
K 0.833 0.167 0.000
Ho 0.334 0.666 0.500
Ho 0.666 0.334 0.500
Te 0.000 0.000 0.500
S 0.064 0.392 0.695
S 0.260 0.260 0.304
S 0.392 0.064 0.695
S 0.608 0.936 0.305
S 0.740 0.740 0.696
S 0.936 0.608 0.305

Calculated values
Total DFT energy (no corrections) (eV/atom): -4.93
Formation energy without anion corrections (eV per atom): -1.361
Crystal system: monoclinic
Space-group type: No. 12